This record from Alexandria via LeMat-Bulk describes an optimized crystal structure of KPRu2. The functional is PBE.

## Properties
The total magnetization comes out at 1.511 μB/f.u. For the energy relative to the elements, the calculation gives 1012 meV/atom. The density of states at the Fermi level is 3.318 states/eV/f.u. The value obtained for the total energy is -5.25 eV per atom.

Unit cell a=4.5370 b=4.5370 c=4.5370 alpha=119.81 beta=119.81 gamma=90.32
Closest atoms and distances in Å follow each position.
Fractional coordinates of all 4 atoms:
Ru (0.0000, 0.0000, 0.0000)  4 Ru 2.78, 4 P 2.78
K (0.5000, 0.5000, 0.0000)  4 P 2.78, 4 Ru 2.78
Ru (0.2500, 0.7500, 0.5000)  4 Ru 2.78, 4 K 2.78
P (0.7500, 0.2500, 0.5000)  4 K 2.78, 4 Ru 2.78